Entry 1:
Computed, not measured: a relaxed structure of NaCSeN2 at the GGA-PBEsol level of DFT.

Uncorrected energy, eV/atom: -3.121

abc: 4.1829 4.1829 5.5053
angles: 90.00 90.00 90.00
With the nearest neighbours (Å) after each atom.
Space group P4/mmm (No. 123)
Asymmetric unit:
Na 0.0000 0.0000 0.0000 [1 per cell]  4 N 2.09
C 0.5000 0.5000 0.5000 [1 per cell]  4 Se 2.96
Se 0.0000 0.0000 0.5000 [1 per cell]  2 Na 2.75, 4 C 2.96
N 0.0000 0.5000 0.0000 [2 per cell]  2 Na 2.09



Entry 2:
Computed, not measured: a relaxed structure of NaTeCN2 at the GGA-PBEsol level of DFT.

Uncorrected energy, eV/atom: -3.163

abc: 4.0994 4.0994 6.2246
angles: 90.00 90.00 90.00
With the nearest neighbours (Å) after each atom.
Space group P4/mmm (No. 123)
Asymmetric unit:
Na 0.0000 0.0000 0.0000 [1 per cell]  4 N 2.05
Te 0.0000 0.0000 0.5000 [1 per cell]  4 C 2.90, 2 Na 3.11
C 0.5000 0.5000 0.5000 [1 per cell]  4 Te 2.90
N 0.0000 0.5000 0.0000 [2 per cell]  2 Na 2.05



Entry 3:
Computed, not measured: a relaxed structure of Nb3CN at the GGA-PBEsol level of DFT.

Uncorrected energy, eV/atom: -9.232

abc: 4.1900 4.1900 4.1900
angles: 90.00 90.00 90.00
With the nearest neighbours (Å) after each atom.
Space group Pm-3m (No. 221)
Asymmetric unit:
Nb 0.0000 0.0000 0.5000 [3 per cell]  2 C 2.09
C 0.0000 0.0000 0.0000 [1 per cell]  6 Nb 2.09
N 0.5000 0.5000 0.5000 [1 per cell]  12 Nb 2.96



Entry 4:
Computed, not measured: a relaxed structure of TaNbCN at the GGA-PBEsol level of DFT.

Uncorrected energy, eV/atom: -11.281

abc: 3.1343 3.1343 15.4439
angles: 90.00 90.00 120.00
With the nearest neighbours (Å) after each atom.
Space group R3m (No. 160, hexagonal axes)
Asymmetric unit:
Ta 0.0000 0.0000 0.0000 [3 per cell]  3 C 2.15, 3 N 2.24
Nb 0.0000 0.0000 0.5124 [3 per cell]  3 C 2.18, 3 N 2.32
C 0.0000 0.0000 0.2577 [3 per cell]  3 Ta 2.15, 3 Nb 2.18
N 0.0000 0.0000 0.7517 [3 per cell]  3 Ta 2.24, 3 Nb 2.32



Entry 5:
Computed, not measured: a relaxed structure of YNbC2N at the GGA-PBEsol level of DFT.

Uncorrected energy, eV/atom: -7.143

abc: 3.9960 3.9960 3.9699
angles: 90.00 90.00 90.00
With the nearest neighbours (Å) after each atom.
Space group P4/mmm (No. 123)
Asymmetric unit:
Y 0.0000 0.0000 0.0000 [1 per cell]  2 N 1.98
Nb 0.5000 0.5000 0.0000 [1 per cell]  8 C 2.82, 4 Y 2.83
C 0.0000 0.5000 0.5000 [2 per cell]  2 N 2.00
N 0.0000 0.0000 0.5000 [1 per cell]  2 Y 1.98, 4 C 2.00



Entry 6:
Computed, not measured: a relaxed structure of Ni3CN at the GGA-PBEsol level of DFT.

Uncorrected energy, eV/atom: -6.458

abc: 3.6305 3.6305 3.6305
angles: 90.00 90.00 90.00
With the nearest neighbours (Å) after each atom.
Space group Pm-3m (No. 221)
Asymmetric unit:
Ni 0.0000 0.0000 0.5000 [3 per cell]  2 N 1.82
C 0.5000 0.5000 0.5000 [1 per cell]  12 Ni 2.57
N 0.0000 0.0000 0.0000 [1 per cell]  6 Ni 1.82



Entry 7:
Computed, not measured: a relaxed structure of NiC2S2N2 at the GGA-PBEsol level of DFT.

Uncorrected energy, eV/atom: -7.097

abc: 10.3158 3.5740 6.2275
angles: 90.00 108.31 90.00
With the nearest neighbours (Å) after each atom.
Space group C2/m (No. 12)
Asymmetric unit:
Ni 0.0000 0.0000 0.0000 [2 per cell]  2 N 1.89
C 0.2305 0.0000 0.7935 [4 per cell]  1 N 1.18
S 0.1222 0.5000 0.2544 [4 per cell]  1 C 1.64
N 0.1276 0.0000 0.8379 [4 per cell]  1 C 1.18



Entry 8:
Computed, not measured: a relaxed structure of OsCNO2 at the GGA-PBEsol level of DFT.

Uncorrected energy, eV/atom: -6.918

abc: 3.7724 3.7724 3.8197
angles: 90.00 90.00 90.00
With the nearest neighbours (Å) after each atom.
Space group P4/mmm (No. 123)
Asymmetric unit:
Os 0.0000 0.0000 0.0000 [1 per cell]  4 O 1.89, 2 N 1.91
C 0.5000 0.5000 0.5000 [1 per cell]  4 N 2.67, 8 O 2.68
N 0.0000 0.0000 0.5000 [1 per cell]  2 Os 1.91
O 0.0000 0.5000 0.0000 [2 per cell]  2 Os 1.89